{
  "formula": "CsLa2Y2",
  "functional": "PBE",
  "state": "relaxed",
  "cell": [[-4.5321, -5.5213, -7.8279], [-6.7099, -4.3506, 6.9534], [-2.4133, 2.7994, -0.5773]],
  "species": ["Cs", "Cs", "Y", "Y", "Y", "Y", "La", "La", "La", "La"],
  "fractional_positions": [[0.0000, 0.0000, 0.0000], [0.5000, 0.5000, 0.0000], [0.1633, 0.6633, 0.5000], [0.6633, 0.8367, 0.5000], [0.8367, 0.3367, 0.5000], [0.3367, 0.1633, 0.5000], [0.3805, 0.8805, 0.0000], [0.8805, 0.6195, 0.0000], [0.6195, 0.1195, 0.0000], [0.1195, 0.3805, 0.0000]],
  "polymorph_energy_mev_per_atom": 19,
  "formation_energy_ev_per_atom": 0.379
}

{
  "formula": "CaCe3Nd2N6",
  "functional": "PBE",
  "state": "relaxed",
  "cell": [[3.5987, 0.0000, 0.0000], [0.0000, 7.1669, 0.2802], [-1.7993, -2.0431, 7.5291]],
  "species": ["Ca", "Ce", "Ce", "Ce", "Nd", "Nd", "N", "N", "N", "N", "N", "N"],
  "fractional_positions": [[0.5000, 0.0000, 0.0000], [0.5000, 0.5000, 0.0000], [0.8350, 0.1649, 0.6699], [0.1650, 0.8351, 0.3301], [0.8335, 0.6678, 0.6669], [0.1665, 0.3322, 0.3331], [0.3286, 0.9263, 0.6572], [0.6632, 0.5919, 0.3263], [0.6714, 0.0737, 0.3428], [0.9952, 0.2658, 0.9904], [0.0048, 0.7342, 0.0096], [0.3368, 0.4081, 0.6737]],
  "e_form_raw_ev_per_atom": -1.3992
}